# TlNi2PF | the Alexandria database | PBE+U | optimized geometry
data_TlNi2PF
_chemical_formula_sum 'Tl1 Ni2 P1 F1'
_space_group_name_H-M_alt 'P 4/m m m'
_space_group_IT_number 123
_space_group_name_Hall '-P 4 2'
_cell_length_a 4.094
_cell_length_b 4.094
_cell_length_c 5.167
_cell_angle_alpha 90.00
_cell_angle_beta 90.00
_cell_angle_gamma 90.00
loop_
_atom_site_label
_atom_site_type_symbol
_atom_site_fract_x
_atom_site_fract_y
_atom_site_fract_z
Tl1 Tl 0.000 0.000 0.000
Ni1 Ni 0.000 0.500 0.500
P1 P 0.500 0.500 0.000
F1 F 0.000 0.000 0.500
# DOS at the Fermi energy	1.15	states/eV per cell
# E_tot	-13.94	eV/cell
# crystal system	tetragonal